[1]
Mg2Ga3Pt | GGA-PBE | optimized geometry

The space group is Pmm2 (No. 25) and the conventional cell measures 3.1890, 4.4219 and 7.6077 Å, with angles of 90.00, 90.00 and 90.00 degrees. The inequivalent atoms are Mg at (0.0000, 0.0000, 0.0000), Mg at (0.0000, 0.5000, 0.4510), Ga at (0.5000, 0.0000, 0.6401), Ga at (0.5000, 0.5000, 0.1382), Ga at (0.5000, 0.5000, 0.8045) and Pt at (0.5000, 0.0000, 0.3070).

Its density of states at the Fermi level is 0.306 states/eV per atom. As for the formation energy from the elements: -0.39 eV per atom.


[2]
HoMnAl11 | GGA-PBE | optimized geometry

The space group is C2/m (No. 12) and the conventional cell measures 5.1874, 12.5998 and 7.0592 Å, with angles of 90.00, 110.25 and 90.00 degrees. The inequivalent atoms are Ho at (0.0000, 0.0000, 0.0000), Mn at (0.0000, 0.5000, 0.5000), Al at (0.0000, 0.0000, 0.5000), Al at (0.1056, 0.3935, 0.2261), Al at (0.1964, 0.1711, 0.3620) and Al at (0.2500, 0.2500, 0.0000).

Its density of states at the Fermi level is 0.475 states/eV per atom. As for the formation energy from the elements: -0.17 eV per atom.


[3]
Al2HgBr | GGA-PBE | optimized geometry

The space group is Cmmm (No. 65) and the conventional cell measures 3.4001, 5.8132 and 9.2626 Å, with angles of 90.00, 90.00 and 90.00 degrees. The inequivalent atoms are Al at (0.0000, 0.0000, 0.2429), Hg at (0.0000, 0.5000, 0.5000) and Br at (0.0000, 0.5000, 0.0000).

Its density of states at the Fermi level is 0.221 states/eV per atom. For the formation energy from raw total energies, the calculation gives 111 meV per atom. The excess energy over the best structure of this formula in the dataset comes out at 46.0 kJ/mol of formula units.


[4]
Sn5SbRh3 | GGA-PBE | optimized geometry

The space group is C2/m (No. 12) and the conventional cell measures 11.5683, 9.0109 and 9.7002 Å, with angles of 90.00, 118.40 and 90.00 degrees. The inequivalent atoms are Sn at (0.0000, 0.2102, 0.0000), Sn at (0.0695, 0.0000, 0.3508), Sn at (0.1671, 0.2892, 0.6698), Sn at (0.2414, 0.5000, 0.0369), Sb at (0.0990, 0.5000, 0.3065), Rh at (0.0000, 0.5000, 0.0000), Rh at (0.0000, 0.5000, 0.5000), Rh at (0.1594, 0.0000, 0.6539) and Rh at (0.1695, 0.0000, 0.1628).

Its density of states at the Fermi level is 0.511 states/eV per atom. For the formation energy from raw total energies, the calculation gives -296 meV per atom.


[5]
TiTl3Ge | GGA-PBE | optimized geometry

The space group is Pm-3m (No. 221) and the conventional cell measures 5.3994, 5.3994 and 5.3994 Å, with angles of 90.00, 90.00 and 90.00 degrees. The inequivalent atoms are Ti at (0.0000, 0.0000, 0.0000), Tl at (0.0000, 0.0000, 0.5000) and Ge at (0.5000, 0.5000, 0.5000).

Its density of states at the Fermi level is 0.802 states/eV per atom. The excess energy over the best structure of this formula in the dataset comes out at 0.0 kJ/mol of formula units. As for the formation energy from the elements: 0.67 eV per atom.


[6]
LaSnSeO2 | GGA-PBE | optimized geometry

The space group is Cmcm (No. 63) and the conventional cell measures 5.4932, 12.1822 and 5.6552 Å, with angles of 90.00, 90.00 and 90.00 degrees. The inequivalent atoms are La at (0.0000, 0.1118, 0.2500), Sn at (0.0000, 0.4137, 0.2500), Se at (0.0000, 0.2297, 0.7500) and O at (0.2382, 0.5000, 0.0000).

Its density of states at the Fermi level is 0.605 states/eV per atom. For the formation energy from raw total energies, the calculation gives -2004 meV per atom.


[7]
HfFe2GeH | GGA-PBE | optimized geometry

The space group is Cmcm (No. 63) and the conventional cell measures 3.2926, 10.3201 and 7.1009 Å, with angles of 90.00, 90.00 and 90.00 degrees. The inequivalent atoms are Hf at (0.0000, 0.0374, 0.2500), Fe at (0.0000, 0.3489, 0.0510), Ge at (0.0000, 0.2415, 0.7500) and H at (0.0000, 0.5000, 0.0000).

Its density of states at the Fermi level is 0.623 states/eV per atom. The excess energy over the best structure of this formula in the dataset comes out at 0.0 kJ/mol of formula units.


[8]
Si2Ru2Pb | GGA-PBE | optimized geometry

The space group is P4/mbm (No. 127) and the conventional cell measures 7.3806, 7.3806 and 2.9156 Å, with angles of 90.00, 90.00 and 90.00 degrees. The inequivalent atoms are Si at (0.1352, 0.3648, 0.0000), Ru at (0.1464, 0.6464, 0.5000) and Pb at (0.0000, 0.0000, 0.5000).

Its density of states at the Fermi level is 0.536 states/eV per atom. For the formation energy from raw total energies, the calculation gives -84 meV per atom.